This record from Alexandria describes a geometry-optimized CrOsN structure. The functional is GGA-PBE.

Its formation energy from raw total energies is 0.115 eV/atom. Its space group is I4/mmm. As for the calculated density: 13.1 g cm⁻³. For the total energy, the calculation gives -9.6109 eV/atom. The total magnetic moment comes out at 0.0 μB per cell.

```
CrOsN
1.0
-1.368 1.368 8.701
1.368 -1.368 8.701
1.368 1.368 -8.701
Cr Os N
2 2 2
Cartesian
0.000 0.000 3.077
0.000 0.000 14.325
0.000 0.000 7.492
0.000 0.000 9.910
0.000 0.000 5.210
0.000 0.000 12.191
```

=====

This record from Alexandria describes a geometry-optimized Ac3Dy3ScTe8 structure. The functional is GGA-PBE.

Its formation energy from raw total energies is -1.390 eV/atom. Its space group is R-3m. As for the calculated density: 7.2 g cm⁻³. For the total energy, the calculation gives -5.2302 eV/atom. The total magnetic moment comes out at 0.0 μB per cell.

```
Ac3Dy3ScTe8
1.0
4.449 2.569 7.566
-4.449 2.569 7.566
0.000 -5.138 7.566
Ac Dy Sc Te
3 3 1 8
Cartesian
-2.225 -1.284 7.566
-2.225 1.284 15.132
0.000 2.569 7.566
-4.449 0.000 11.349
-2.225 1.284 3.783
2.225 1.284 3.783
0.000 0.000 11.349
0.000 0.000 5.477
-2.210 -1.276 13.040
0.000 -2.552 9.658
-2.210 1.276 9.658
2.210 -1.276 13.040
0.000 2.552 13.040
2.210 1.276 9.658
0.000 0.000 17.221
```

=====

This record from Alexandria describes a geometry-optimized RbBaSr2Tl structure. The functional is GGA-PBE.

Its space group is P4/mmm. As for the calculated density: 3.3 g cm⁻³. The value obtained for the calculated formation energy is -5.6 kJ/mol of atoms. For the total energy, the calculation gives -1.7818 eV/atom. The total magnetic moment comes out at 0.0 μB per cell.

```
RbBaSr2Tl
1.0
6.650 0.000 0.000
0.000 6.650 0.000
0.000 0.000 6.847
Rb Ba Sr Tl
1 1 2 1
Cartesian
0.000 0.000 0.000
3.325 3.325 0.000
0.000 3.325 3.424
3.325 0.000 3.424
3.325 3.325 3.424
```

=====

This record from Alexandria describes a geometry-optimized Ca2Co structure. The functional is GGA-PBE.

Its space group is Pnnm. As for the calculated density: 2.8 g cm⁻³. The value obtained for the calculated formation energy is 33.8 kJ/mol of atoms. For the total energy, the calculation gives -3.3523 eV/atom. The total magnetic moment comes out at 0.4 μB per cell.

```
Ca2Co
1.0
6.812 0.000 0.000
0.000 6.999 0.000
0.000 0.000 3.505
Ca Co
4 2
Cartesian
1.592 1.234 0.000
1.814 4.733 1.753
4.998 2.266 1.753
5.221 5.765 0.000
0.000 3.499 0.000
3.406 0.000 1.753
```

=====

This record from Alexandria describes a geometry-optimized LaYHg2 structure. The functional is GGA-PBE.

Its space group is Imm2. As for the calculated density: 9.4 g cm⁻³. The value obtained for the calculated formation energy is -35.7 kJ/mol of atoms. For the total energy, the calculation gives -3.3688 eV/atom. The total magnetic moment comes out at 0.0 μB per cell.

```
LaYHg2
1.0
-1.907 2.606 5.594
1.907 -2.606 5.594
1.907 2.606 -5.594
La Y Hg
1 1 2
Cartesian
0.000 0.000 0.000
1.907 0.000 3.048
0.000 0.000 5.860
0.000 2.606 2.692
```

=====

This record from Alexandria describes a geometry-optimized CuSn2Pt6 structure. The functional is GGA-PBE.

Its space group is C2/m. As for the calculated density: 15.6 g cm⁻³. The value obtained for the calculated formation energy is -17.4 kJ/mol of atoms. For the total energy, the calculation gives -5.5521 eV/atom. The total magnetic moment comes out at 0.0 μB per cell.

```
CuSn2Pt6
1.0
4.800 -2.757 0.000
4.800 2.757 0.000
-1.347 0.000 5.905
Cu Sn Pt
1 2 6
Cartesian
0.000 0.000 0.000
2.117 0.000 4.979
6.136 0.000 0.926
3.612 1.329 1.657
1.256 0.000 2.262
4.642 1.329 4.248
3.612 -1.329 1.657
6.998 0.000 3.643
4.642 -1.329 4.248
```

=====

This record from Alexandria describes a geometry-optimized Pr3Nd3GaHg2 structure. The functional is GGA-PBE.

Its space group is P-62m. As for the calculated density: 8.1 g cm⁻³. The value obtained for the calculated formation energy is -29.8 kJ/mol of atoms. For the total energy, the calculation gives -3.8945 eV/atom. The total magnetic moment comes out at 0.0 μB per cell.

```
Pr3Nd3GaHg2
1.0
9.039 0.000 0.000
-4.519 7.828 0.000
0.000 0.000 3.841
Pr Nd Ga Hg
3 3 1 2
Cartesian
-3.319 5.749 0.000
1.200 2.079 0.000
6.638 0.000 0.000
-1.788 3.096 1.920
3.575 0.000 1.920
2.732 4.732 1.920
0.000 0.000 1.920
0.000 5.219 0.000
4.519 2.609 0.000
```

=====

This record from Alexandria describes a geometry-optimized La7Y2Tm structure. The functional is GGA-PBE.

Its space group is Cmmm. As for the calculated density: 6.2 g cm⁻³. The value obtained for the calculated formation energy is 14.1 kJ/mol of atoms. For the total energy, the calculation gives -5.0427 eV/atom. The total magnetic moment comes out at 0.0 μB per cell.

```
La7Y2Tm
1.0
3.407 -14.725 0.000
3.407 14.725 0.000
0.000 0.000 3.519
La Y Tm
7 2 1
Cartesian
0.000 0.000 0.000
1.785 2.925 0.000
3.407 5.640 1.759
1.785 -2.925 0.000
5.029 2.925 0.000
3.407 -5.640 1.759
5.029 -2.925 0.000
3.407 8.710 0.000
3.407 -8.710 0.000
3.407 0.000 1.759
```

=====

This record from Alexandria describes a geometry-optimized PmNdCoNi structure. The functional is GGA-PBE.

The value obtained for the polymorph energy (0 for the lowest one) is 0.0000 eV/atom. Its space group is Amm2. As for the calculated density: 7.8 g cm⁻³. The value obtained for the calculated formation energy is -18.4 kJ/mol of atoms. For the total energy, the calculation gives -5.7918 eV/atom. The total magnetic moment comes out at 0.0 μB per cell.

```
PmNdCoNi
1.0
3.989 0.000 0.000
0.000 1.970 5.497
0.000 -1.970 5.497
Pm Nd Co Ni
1 1 1 1
Cartesian
0.000 0.000 0.000
1.994 0.000 3.078
1.994 0.000 6.273
0.000 0.000 7.722
```

=====

This record from Alexandria describes a geometry-optimized MnMoSe4 structure. The functional is GGA-PBE.

Its formation energy from raw total energies is -0.253 eV/atom. The value obtained for the polymorph energy (0 for the lowest one) is 0.2367 eV/atom. Its space group is Cmmm. As for the calculated density: 5.9 g cm⁻³. For the total energy, the calculation gives -5.9091 eV/atom. The total magnetic moment comes out at 3.3 μB per cell.

```
MnMoSe4
1.0
4.229 -4.390 0.000
4.229 4.390 0.000
0.000 0.000 3.512
Mn Mo Se
1 1 4
Cartesian
0.000 0.000 0.000
4.229 0.000 1.756
1.694 0.000 1.756
4.229 1.815 0.000
4.229 -1.815 0.000
6.764 0.000 1.756
```

=====

This record from Alexandria describes a geometry-optimized BaNaLa2Ni structure. The functional is GGA-PBE.

The value obtained for the polymorph energy (0 for the lowest one) is 0.0445 eV/atom. Its space group is P4/mmm. As for the calculated density: 4.5 g cm⁻³. The value obtained for the calculated formation energy is 7.6 kJ/mol of atoms. For the total energy, the calculation gives -3.6973 eV/atom. The total magnetic moment comes out at 0.0 μB per cell.

```
BaNaLa2Ni
1.0
5.491 0.000 0.000
0.000 5.491 0.000
0.000 0.000 6.145
Ba Na La Ni
1 1 2 1
Cartesian
0.000 0.000 0.000
2.746 2.746 0.000
0.000 2.746 3.072
2.746 0.000 3.072
2.746 2.746 3.072
```

=====

This record from Alexandria describes a geometry-optimized ErSc3H8 structure. The functional is GGA-PBE.

Its space group is Pm-3m. As for the calculated density: 4.5 g cm⁻³. For the total energy, the calculation gives -4.8914 eV/atom. The total magnetic moment comes out at 0.0 μB per cell.

```
ErSc3H8
1.0
4.841 0.000 0.000
0.000 4.841 0.000
0.000 0.000 4.841
Er Sc H
1 3 8
Cartesian
0.000 0.000 0.000
0.000 2.420 2.420
2.420 0.000 2.420
2.420 2.420 0.000
1.251 1.251 1.251
1.251 1.251 3.590
1.251 3.590 1.251
1.251 3.590 3.590
3.590 1.251 1.251
3.590 1.251 3.590
3.590 3.590 1.251
3.590 3.590 3.590
```